# 1
A plane-wave DFT calculation with GGA-PBE was carried out for NiPtW2 after structural relaxation.

a = 9.1259 Å, b = 9.1259 Å, c = 9.1259 Å
α = 17.48°, β = 17.48°, γ = 17.48°
Closest atoms and distances in Å follow each position.
Positions (direct):
Ni  0.0000  0.0000  0.0000  3 W 2.61, 3 Pt 2.70, 6 Ni 2.77
Pt  0.7473  0.7473  0.7473  3 Ni 2.70, 6 Pt 2.77, 3 W 2.79
W  0.2569  0.2569  0.2569  3 Ni 2.61, 6 W 2.77
W  0.4986  0.4986  0.4986  9 W 2.77-2.94, 3 Pt 2.79

Output
Energy of formation, eV per atom: 0.0971
Density of states at the Fermi level, states/eV per cell: 4.063
Energy, eV per atom: -9.3350
Space group: R3m, No. 160
Energy above the most stable polymorph in this dataset, eV/f.u.: 0.773

=====

# 2
A plane-wave DFT calculation with GGA-PBE was carried out for NiPt2W after structural relaxation.

a = 8.9855 Å, b = 8.9855 Å, c = 8.9855 Å
α = 17.74°, β = 17.74°, γ = 17.74°
Closest atoms and distances in Å follow each position.
Positions (direct):
Ni  0.0000  0.0000  0.0000  6 Pt 2.68, 6 Ni 2.77
Pt  0.2522  0.2522  0.2522  3 Ni 2.68, 6 Pt 2.77, 3 W 2.78
Pt  0.7478  0.7478  0.7478  3 Ni 2.68, 6 Pt 2.77, 3 W 2.78
W  0.5000  0.5000  0.5000  6 W 2.77, 6 Pt 2.78

Output
Energy of formation, eV per atom: -0.1001
Density of states at the Fermi level, states/eV per cell: 4.150
Energy, eV per atom: -7.8042
Space group: R-3m, No. 166
Energy above the most stable polymorph in this dataset, eV/f.u.: 0.653

=====

# 3
A plane-wave DFT calculation with GGA-PBE was carried out for NiPt2W after structural relaxation.

a = 2.7642 Å, b = 3.8930 Å, c = 5.3986 Å
α = 90.00°, β = 90.11°, γ = 90.00°
Closest atoms and distances in Å follow each position.
Positions (direct):
Ni  0.0000  0.0000  0.0000  2 W 2.70, 8 Pt 2.73, 2 Ni 2.76
Pt  0.4991  0.5000  0.7532  4 Pt 2.66-2.76, 4 Ni 2.73, 4 W 2.75
Pt  0.5009  0.5000  0.2468  4 Pt 2.66-2.76, 4 Ni 2.73, 4 W 2.75
W  0.0000  0.0000  0.5000  2 Ni 2.70, 8 Pt 2.75, 2 W 2.76

Output
Energy of formation, eV per atom: -0.2423
Density of states at the Fermi level, states/eV per cell: 2.582
Energy, eV per atom: -7.9463
Space group: P2/m, No. 10
Energy above the most stable polymorph in this dataset, eV/f.u.: 0.084

=====

# 4
A plane-wave DFT calculation with GGA-PBE was carried out for NiPt6W after structural relaxation.

a = 8.3725 Å, b = 8.3725 Å, c = 8.3725 Å
α = 152.93°, β = 152.93°, γ = 38.66°
Closest atoms and distances in Å follow each position.
Positions (direct):
Ni  0.0000  0.0000  0.0000  8 Pt 2.68, 4 W 2.77
Pt  0.1157  0.6157  0.5000  2 W 2.68, 2 Ni 2.68, 8 Pt 2.77-2.93
Pt  0.2468  0.2468  0.0000  12 Pt 2.77-2.93
Pt  0.3843  0.8843  0.5000  2 W 2.68, 2 Ni 2.68, 8 Pt 2.77-2.93
Pt  0.6157  0.1157  0.5000  2 W 2.68, 2 Ni 2.68, 8 Pt 2.77-2.93
Pt  0.7532  0.7532  0.0000  12 Pt 2.77-2.93
Pt  0.8843  0.3843  0.5000  2 W 2.68, 2 Ni 2.68, 8 Pt 2.77-2.93
W  0.5000  0.5000  0.0000  8 Pt 2.68, 4 Ni 2.77

Output
Energy of formation, eV per atom: -0.1919
Density of states at the Fermi level, states/eV per cell: 6.468
Energy, eV per atom: -7.0643
Space group: I4/mmm, No. 139
Energy above the most stable polymorph in this dataset, eV/f.u.: 0.035

=====

# 5
A plane-wave DFT calculation with GGA-PBE was carried out for Ni12Pt4W3 after structural relaxation.

a = 7.6355 Å, b = 7.6355 Å, c = 7.6355 Å
α = 109.47°, β = 109.47°, γ = 109.47°
Closest atoms and distances in Å follow each position.
Positions (direct):
Ni  0.1058  0.7414  0.3643  5 Ni 2.39-2.67, 2 Pt 2.42, 2 W 2.44-2.57
Ni  0.2586  0.3643  0.6229  5 Ni 2.39-2.67, 2 Pt 2.42, 2 W 2.44-2.57
Ni  0.2586  0.6357  0.8942  5 Ni 2.39-2.67, 2 Pt 2.42, 2 W 2.44-2.57
Ni  0.3643  0.1058  0.7414  5 Ni 2.39-2.67, 2 Pt 2.42, 2 W 2.44-2.57
Ni  0.3643  0.6229  0.2586  5 Ni 2.39-2.67, 2 Pt 2.42, 2 W 2.44-2.57
Ni  0.3771  0.7414  0.6357  5 Ni 2.39-2.67, 2 Pt 2.42, 2 W 2.44-2.57
Ni  0.6229  0.2586  0.3643  5 Ni 2.39-2.67, 2 Pt 2.42, 2 W 2.44-2.57
Ni  0.6357  0.3771  0.7414  5 Ni 2.39-2.67, 2 Pt 2.42, 2 W 2.44-2.57
Ni  0.6357  0.8942  0.2586  5 Ni 2.39-2.67, 2 Pt 2.42, 2 W 2.44-2.57
Ni  0.7414  0.3643  0.1058  5 Ni 2.39-2.67, 2 Pt 2.42, 2 W 2.44-2.57
Ni  0.7414  0.6357  0.3771  5 Ni 2.39-2.67, 2 Pt 2.42, 2 W 2.44-2.57
Ni  0.8942  0.2586  0.6357  5 Ni 2.39-2.67, 2 Pt 2.42, 2 W 2.44-2.57
Pt  0.0000  0.0000  0.5000  6 Ni 2.42
Pt  0.0000  0.5000  0.0000  6 Ni 2.42
Pt  0.5000  0.0000  0.0000  6 Ni 2.42
Pt  0.5000  0.5000  0.5000  6 Ni 2.42
W  0.0000  0.5000  0.5000  8 Ni 2.44-2.57
W  0.5000  0.0000  0.5000  8 Ni 2.44-2.57
W  0.5000  0.5000  0.0000  8 Ni 2.44-2.57

Output
Energy of formation, eV per atom: 0.6207
Density of states at the Fermi level, states/eV per cell: 26.458
Energy, eV per atom: -6.3477
Space group: Im-3, No. 204

=====

# 6
A plane-wave DFT calculation with GGA-PBE was carried out for NiPtW2 after structural relaxation.

a = 4.6811 Å, b = 4.6811 Å, c = 4.9246 Å
α = 97.82°, β = 97.82°, γ = 33.64°
Closest atoms and distances in Å follow each position.
Positions (direct):
Ni  0.0000  0.0000  0.0000  7 W 2.66-2.81, 3 Pt 2.71-2.79, 2 Ni 2.71
Pt  0.7533  0.7533  0.2593  7 W 2.69-2.92, 3 Ni 2.71-2.79, 2 Pt 2.71
W  0.2565  0.2565  0.7856  3 Ni 2.66, 4 Pt 2.70-2.92, 5 W 2.71-2.85
W  0.5019  0.5019  0.4995  3 Pt 2.69-2.73, 5 W 2.71-2.85, 4 Ni 2.81

Output
Energy of formation, eV per atom: -0.0404
Density of states at the Fermi level, states/eV per cell: 3.280
Energy, eV per atom: -9.4725
Space group: Cm, No. 8
Energy above the most stable polymorph in this dataset, eV/f.u.: 0.223

=====

# 7
A plane-wave DFT calculation with GGA-PBE was carried out for Ni8Pt5W after structural relaxation.

a = 6.3039 Å, b = 6.3039 Å, c = 6.3039 Å
α = 109.11°, β = 109.11°, γ = 110.20°
Closest atoms and distances in Å follow each position.
Positions (direct):
Ni  0.1406  0.4424  0.0840  1 W 2.38, 5 Pt 2.42-2.65, 1 Ni 2.53
Ni  0.3585  0.0567  0.9160  1 W 2.38, 5 Pt 2.42-2.65, 1 Ni 2.53
Ni  0.4051  0.1246  0.4014  3 Ni 2.49-2.78, 5 Pt 2.57-2.70, 1 W 2.59
Ni  0.5576  0.6415  0.6982  1 W 2.38, 5 Pt 2.42-2.65, 1 Ni 2.53
Ni  0.7232  0.0037  0.5986  3 Ni 2.49-2.78, 5 Pt 2.57-2.70, 1 W 2.59
Ni  0.8754  0.2768  0.2805  3 Ni 2.49-2.78, 5 Pt 2.57-2.70, 1 W 2.59
Ni  0.9433  0.8594  0.3018  1 W 2.38, 5 Pt 2.42-2.65, 1 Ni 2.53
Ni  0.9963  0.5949  0.7195  3 Ni 2.49-2.78, 5 Pt 2.57-2.70, 1 W 2.59
Pt  0.0000  0.0000  0.0000  8 Ni 2.42-2.57
Pt  0.1971  0.2972  0.6826  8 Ni 2.46-2.70
Pt  0.4854  0.8029  0.1000  8 Ni 2.46-2.70
Pt  0.6146  0.5146  0.3174  8 Ni 2.46-2.70
Pt  0.7028  0.3854  0.9000  8 Ni 2.46-2.70
W  0.2500  0.7500  0.5000  8 Ni 2.38-2.59

Output
Energy of formation, eV per atom: 0.1529
Density of states at the Fermi level, states/eV per cell: 22.203
Energy, eV per atom: -6.2334
Space group: I-4, No. 82

=====

# 8
A plane-wave DFT calculation with GGA-PBE was carried out for NiPtW2 after structural relaxation.

a = 5.5783 Å, b = 5.5783 Å, c = 5.5783 Å
α = 102.31°, β = 102.31°, γ = 125.01°
Closest atoms and distances in Å follow each position.
Positions (direct):
Ni  0.0000  0.0000  0.0000  4 W 2.40, 2 Pt 2.58
Ni  0.7500  0.2500  0.5000  4 W 2.40, 2 Pt 2.58
Pt  0.2500  0.7500  0.5000  2 Ni 2.58, 4 W 2.73
Pt  0.5000  0.5000  0.0000  2 Ni 2.58, 4 W 2.73
W  0.0904  0.1250  0.4654  2 Ni 2.40, 2 W 2.62
W  0.3750  0.9096  0.0346  2 Ni 2.40, 2 W 2.62
W  0.6596  0.6250  0.5346  2 Ni 2.40, 2 W 2.62
W  0.8750  0.3404  0.9654  2 Ni 2.40, 2 W 2.62

Output
Energy of formation, eV per atom: 0.5268
Density of states at the Fermi level, states/eV per cell: 5.161
Energy, eV per atom: -8.9053
Space group: I-42d, No. 122
Energy above the most stable polymorph in this dataset, eV/f.u.: 2.492

=====

# 9
A plane-wave DFT calculation with GGA-PBE was carried out for NiPtW3 after structural relaxation.

a = 4.4303 Å, b = 4.4303 Å, c = 4.4303 Å
α = 90.00°, β = 90.00°, γ = 90.00°
Closest atoms and distances in Å follow each position.
Positions (direct):
Ni  0.0000  0.0000  0.0000  6 W 2.22
Pt  0.5000  0.5000  0.5000  12 W 3.13
W  0.0000  0.0000  0.5000  2 Ni 2.22
W  0.0000  0.5000  0.0000  2 Ni 2.22
W  0.5000  0.0000  0.0000  2 Ni 2.22

Output
Energy of formation, eV per atom: 1.3878
Density of states at the Fermi level, states/eV per cell: 7.487
Energy, eV per atom: -8.7486
Space group: Pm-3m, No. 221
Energy above the most stable polymorph in this dataset, eV/f.u.: 0.000

=====

# 10
A plane-wave DFT calculation with GGA-PBE was carried out for Ni2PtW after structural relaxation.

a = 4.6456 Å, b = 4.6456 Å, c = 4.5132 Å
α = 100.54°, β = 100.54°, γ = 34.02°
Closest atoms and distances in Å follow each position.
Positions (direct):
Ni  0.0000  0.0000  0.0000  4 W 2.57-2.70, 5 Ni 2.62-2.72, 3 Pt 2.68-2.70
Ni  0.7453  0.7453  0.2362  5 Ni 2.62-2.72, 4 Pt 2.62-2.65, 3 W 2.65-2.67
Pt  0.2495  0.2495  0.7414  7 Ni 2.62-2.70, 3 W 2.67-2.71, 2 Pt 2.72
W  0.4944  0.4944  0.4801  7 Ni 2.57-2.70, 3 Pt 2.67-2.71, 2 W 2.72

Output
Energy of formation, eV per atom: -0.0999
Density of states at the Fermi level, states/eV per cell: 4.313
Energy, eV per atom: -7.7391
Space group: Cm, No. 8
Energy above the most stable polymorph in this dataset, eV/f.u.: 0.397

=====

# 11
A plane-wave DFT calculation with GGA-PBE was carried out for Ni4Pt2W after structural relaxation.

a = 5.6641 Å, b = 5.6641 Å, c = 5.6641 Å
α = 131.51°, β = 131.51°, γ = 71.00°
Closest atoms and distances in Å follow each position.
Positions (direct):
Ni  0.0000  0.5000  0.5000  2 Ni 2.31, 2 W 2.33
Ni  0.2500  0.7500  0.5000  2 Ni 2.31, 4 Pt 2.51
Ni  0.5000  0.0000  0.5000  2 Ni 2.31, 2 W 2.33
Ni  0.7500  0.2500  0.5000  2 Ni 2.31, 4 Pt 2.51
Pt  0.1465  0.1465  0.0000  8 Ni 2.51-2.69, 1 Pt 2.70
Pt  0.8535  0.8535  0.0000  8 Ni 2.51-2.69, 1 Pt 2.70
W  0.5000  0.5000  0.0000  4 Ni 2.33

Output
Energy of formation, eV per atom: 0.5627
Density of states at the Fermi level, states/eV per cell: 12.165
Energy, eV per atom: -6.3173
Space group: I4/mmm, No. 139
Energy above the most stable polymorph in this dataset, eV/f.u.: 3.017

=====

# 12
A plane-wave DFT calculation with GGA-PBE was carried out for Ni2PtW after structural relaxation.

a = 4.2541 Å, b = 4.2541 Å, c = 4.2541 Å
α = 60.00°, β = 60.00°, γ = 60.00°
Closest atoms and distances in Å follow each position.
Positions (direct):
Ni  0.0000  0.0000  0.0000  4 W 2.61, 4 Ni 2.61
Ni  0.2500  0.2500  0.2500  4 Ni 2.61, 4 Pt 2.61
Pt  0.5000  0.5000  0.5000  4 W 2.61, 4 Ni 2.61
W  0.7500  0.7500  0.7500  4 Ni 2.61, 4 Pt 2.61

Output
Energy of formation, eV per atom: 0.0309
Density of states at the Fermi level, states/eV per cell: 5.047
Energy, eV per atom: -7.6083
Space group: F-43m, No. 216
Energy above the most stable polymorph in this dataset, eV/f.u.: 0.920